(1)
Below is a relaxed NaLiZrSe3 crystal, with properties calculated at the PBE level.

a b c (Å): 7.4686 3.9382 10.3266
angles (deg): 90.00 102.57 90.00
Fractional coordinates of all 12 atoms:
Na (0.1225, 0.2500, 0.1666)
Na (0.8775, 0.7500, 0.8334)
Li (0.1582, 0.7500, 0.5637)
Li (0.8418, 0.2500, 0.4363)
Zr (0.3668, 0.2500, 0.8231)
Zr (0.6332, 0.7500, 0.1769)
Se (0.0345, 0.2500, 0.6784)
Se (0.2839, 0.7500, 0.9940)
Se (0.4906, 0.7500, 0.6906)
Se (0.5094, 0.2500, 0.3094)
Se (0.7161, 0.2500, 0.0060)
Se (0.9655, 0.7500, 0.3216)

Values from the calculation:
M_tot   0.0 μB/f.u.
Energy relative to the elements, uncorrected   -29.82 kcal/mol of atoms


(2)
Below is a relaxed EuLuAgGe crystal, with properties calculated at the PBE level.

a b c (Å): 7.2667 7.2667 7.2667
angles (deg): 90.00 90.00 90.00
Fractional coordinates of all 16 atoms:
Eu (0.0000, 0.0000, 0.0000)
Eu (0.0000, 0.5000, 0.5000)
Eu (0.5000, 0.0000, 0.5000)
Eu (0.5000, 0.5000, 0.0000)
Lu (0.0000, 0.0000, 0.5000)
Lu (0.0000, 0.5000, 0.0000)
Lu (0.5000, 0.0000, 0.0000)
Lu (0.5000, 0.5000, 0.5000)
Ag (0.2500, 0.2500, 0.7500)
Ag (0.2500, 0.7500, 0.2500)
Ag (0.7500, 0.2500, 0.2500)
Ag (0.7500, 0.7500, 0.7500)
Ge (0.2500, 0.2500, 0.2500)
Ge (0.2500, 0.7500, 0.7500)
Ge (0.7500, 0.2500, 0.7500)
Ge (0.7500, 0.7500, 0.2500)

Values from the calculation:
M_tot   7.2 μB/f.u.
Raw total energy   -6.0549 eV/atom


(3)
Below is a relaxed Pm6Ni2N crystal, with properties calculated at the PBE level.

a b c (Å): 6.4880 7.0400 11.7284
angles (deg): 90.00 122.80 90.00
Fractional coordinates of all 18 atoms:
Pm (0.1084, 0.0409, 0.2384)
Pm (0.1084, 0.4591, 0.7384)
Pm (0.2373, 0.6893, 0.0644)
Pm (0.2373, 0.8107, 0.5644)
Pm (0.3765, 0.1740, 0.0630)
Pm (0.3765, 0.3260, 0.5630)
Pm (0.6235, 0.6740, 0.4370)
Pm (0.6235, 0.8260, 0.9370)
Pm (0.7627, 0.1893, 0.4356)
Pm (0.7627, 0.3107, 0.9356)
Pm (0.8916, 0.5409, 0.2616)
Pm (0.8916, 0.9591, 0.7616)
Ni (0.3048, 0.0985, 0.7546)
Ni (0.3048, 0.4015, 0.2546)
Ni (0.6952, 0.5985, 0.7454)
Ni (0.6952, 0.9015, 0.2454)
N (0.0000, 0.0000, 0.0000)
N (0.0000, 0.5000, 0.5000)

Values from the calculation:
M_tot   0.0 μB/f.u.
Energy relative to the elements, uncorrected   -10.77 kcal/mol of atoms


Q: The highest M_tot belongs to which entry?
A: EuLuAgGe